Entry 1:
A geometry-optimized K3TbHo2Se6 structure, computed with PBE.

Structure (POSCAR):
```
K3TbHo2Se6
1.0
3.644 -6.311 0.000
3.644 6.311 0.000
-2.429 0.000 7.681
K Tb Ho Se
3 1 2 6
Direct
0.000 0.000 0.000 K
0.334 0.666 0.000 K
0.666 0.334 0.000 K
0.500 0.500 0.500 Tb
0.167 0.833 0.500 Ho
0.833 0.167 0.500 Ho
0.096 0.432 0.295 Se
0.233 0.233 0.705 Se
0.432 0.096 0.295 Se
0.568 0.904 0.705 Se
0.767 0.767 0.295 Se
0.904 0.568 0.705 Se
```

Computed properties:
uncorrected formation energy	-1.763	eV per atom
total DFT energy (no corrections)	-4.9287	eV per atom
crystal system	monoclinic
space group	C2/m



Entry 2:
A geometry-optimized Dy5Y2Th4 structure, computed with PBE.

Structure (POSCAR):
```
Dy5Y2Th4
1.0
8.362 -3.329 0.000
8.362 3.329 0.000
-1.085 0.000 6.490
Dy Y Th
5 2 4
Direct
0.000 0.000 0.000 Dy
0.175 0.653 0.596 Dy
0.347 0.825 0.404 Dy
0.653 0.175 0.596 Dy
0.825 0.347 0.404 Dy
0.197 0.197 0.824 Y
0.803 0.803 0.176 Y
0.249 0.249 0.341 Th
0.406 0.406 0.093 Th
0.594 0.594 0.907 Th
0.751 0.751 0.659 Th
```

Computed properties:
ΔH_f (0 K)	2.1	eV/f.u.
total DFT energy (no corrections)	-5.7705	eV per atom
crystal system	monoclinic
space group	C2/m



Entry 3:
A geometry-optimized Sc6PdRh5 structure, computed with PBE.

Structure (POSCAR):
```
Sc6PdRh5
1.0
-2.273 3.311 6.796
2.273 -3.311 6.796
2.273 3.311 -6.796
Sc Pd Rh
6 1 5
Direct
0.079 0.332 0.748 Sc
0.245 0.000 0.245 Sc
0.416 0.668 0.748 Sc
0.584 0.332 0.252 Sc
0.755 0.000 0.755 Sc
0.921 0.668 0.252 Sc
0.500 0.500 0.000 Pd
0.000 0.500 0.500 Rh
0.167 0.167 0.000 Rh
0.334 0.834 0.500 Rh
0.666 0.166 0.500 Rh
0.833 0.833 0.000 Rh
```

Computed properties:
ΔH_f (0 K)	-12.0	eV/f.u.
total DFT energy (no corrections)	-7.6588	eV per atom
crystal system	orthorhombic
space group	Immm



Entry 4:
A geometry-optimized ZrScRh2 structure, computed with PBE.

Structure (POSCAR):
```
ZrScRh2
1.0
1.604 0.926 8.130
-1.604 0.926 8.130
0.000 -1.853 8.130
Zr Sc Rh
1 1 2
Direct
0.000 0.000 0.000 Zr
0.500 0.500 0.500 Sc
0.250 0.250 0.250 Rh
0.750 0.750 0.750 Rh
```

Computed properties:
ΔH_f (0 K)	-2.1	eV/f.u.
total DFT energy (no corrections)	-7.9259	eV per atom
crystal system	trigonal
space group	R-3m



Entry 5:
A geometry-optimized SnI2N structure, computed with PBE.

Structure (POSCAR):
```
SnI2N
1.0
7.895 -2.348 0.000
7.895 2.348 0.000
-0.691 0.000 8.070
Sn I N
2 4 2
Direct
0.092 0.092 0.095 Sn
0.908 0.908 0.905 Sn
0.295 0.295 0.776 I
0.445 0.445 0.227 I
0.555 0.555 0.773 I
0.705 0.705 0.224 I
0.039 0.039 0.837 N
0.961 0.961 0.163 N
```

Computed properties:
uncorrected formation energy	0.396	eV per atom
total DFT energy (no corrections)	-3.4607	eV per atom
crystal system	monoclinic
space group	C2/m



Entry 6:
A geometry-optimized NiAg2Os structure, computed with PBE.

Structure (POSCAR):
```
NiAg2Os
1.0
-1.903 1.903 4.237
1.903 -1.903 4.237
1.903 1.903 -4.237
Ni Ag Os
1 2 1
Direct
0.000 0.000 0.000 Ni
0.250 0.750 0.500 Ag
0.750 0.250 0.500 Ag
0.500 0.500 0.000 Os
```

Computed properties:
ΔH_f (0 K)	3.1	eV/f.u.
total DFT energy (no corrections)	-4.9156	eV per atom
crystal system	tetragonal
space group	I4/mmm



Entry 7:
A geometry-optimized Cu5PtAu8 structure, computed with PBE.

Structure (POSCAR):
```
Cu5PtAu8
1.0
-3.890 3.890 3.877
3.890 -3.890 3.877
3.890 3.890 -3.877
Cu Pt Au
5 1 8
Direct
0.000 0.000 0.000 Cu
0.269 0.622 0.099 Cu
0.378 0.477 0.647 Cu
0.523 0.170 0.901 Cu
0.830 0.731 0.353 Cu
0.750 0.250 0.500 Pt
0.002 0.400 0.261 Au
0.112 0.182 0.742 Au
0.139 0.740 0.739 Au
0.260 0.998 0.398 Au
0.440 0.370 0.258 Au
0.600 0.861 0.602 Au
0.630 0.888 0.070 Au
0.818 0.560 0.930 Au
```

Computed properties:
ΔH_f (0 K)	1.4	eV/f.u.
total DFT energy (no corrections)	-3.6654	eV per atom
crystal system	tetragonal
space group	I-4



Entry 8:
A geometry-optimized SiB structure, computed with PBE.

Structure (POSCAR):
```
SiB
1.0
3.026 0.000 0.000
0.000 3.026 0.000
0.000 0.000 2.423
Si B
1 1
Direct
0.000 0.000 0.000 Si
0.500 0.500 0.000 B
```

Computed properties:
uncorrected formation energy	0.851	eV per atom
total DFT energy (no corrections)	-5.1996	eV per atom
crystal system	tetragonal
space group	P4/mmm